[1]
A relaxed Al4Br5 crystal, computed with PBE.

The total energy comes out at -50.96 eV/cell. Its size of the total moment is 0.0 Bohr magnetons per cell.

The structure belongs to space group P6_3/mcm (No. 193); the cell edges are 9.2689, 9.2689 and 6.8890 Å and the angles 90.00°, 90.00° and 120.00°. Symmetry generates all atoms from Al at (0.0000, 0.0000, 0.0000), Al at (0.0000, 0.4688, 0.2500), Br at (0.0000, 0.2245, 0.7500) and Br at (0.3333, 0.6667, 0.0000).


[2]
A relaxed AlBr2 crystal, computed with PBE.

The total energy comes out at -32.00 eV/cell. Its size of the total moment is 0.0 Bohr magnetons per cell.

The structure belongs to space group I4_1/amd (No. 141, origin choice 2); the cell edges are 3.461, 3.461 and 29.915 Å and the angles 90.00°, 90.00° and 90.00°. Symmetry generates all atoms from Al at (0.000, 0.250, 0.375) and Br at (0.000, 0.250, 0.820).


[3]
A relaxed AlBr crystal, computed with PBE.

The total energy comes out at -11.38 eV/cell. Its size of the total moment is 0.0 Bohr magnetons per cell.

The structure belongs to space group Pmmn (No. 59, origin choice 2); the cell edges are 3.737, 6.178 and 5.775 Å and the angles 90.00°, 90.00° and 90.00°. Symmetry generates all atoms from Al at (0.250, 0.250, 0.227) and Br at (0.250, 0.750, 0.129).


[4]
A relaxed AlBr2 crystal, computed with PBE.

The total energy comes out at -6.29 eV/cell. Its size of the total moment is 0.0 Bohr magnetons per cell.

The structure belongs to space group P6/mmm (No. 191); the cell edges are 5.2269, 5.2269 and 3.8046 Å and the angles 90.00°, 90.00° and 120.00°. Symmetry generates all atoms from Al at (0.0000, 0.0000, 0.0000) and Br at (0.3333, 0.6667, 0.5000).


[5]
A relaxed AlBr3 crystal, computed with PBE.

The total energy comes out at -7.81 eV/cell. Its size of the total moment is 0.0 Bohr magnetons per cell.

The structure belongs to space group P4/mmm (No. 123); the cell edges are 5.272, 5.272 and 3.742 Å and the angles 90.00°, 90.00° and 90.00°. Symmetry generates all atoms from Al at (0.000, 0.000, 0.000), Br at (0.000, 0.500, 0.500) and Br at (0.500, 0.500, 0.000).


[6]
A relaxed AlBr2 crystal, computed with PBE.

The total energy comes out at -38.12 eV/cell. Its size of the total moment is 0.0 Bohr magnetons per cell.

The structure belongs to space group C2/m (No. 12); the cell edges are 11.994, 3.771 and 9.686 Å and the angles 90.00°, 125.89° and 90.00°. Symmetry generates all atoms from Al at (0.069, 0.000, 0.430), Br at (0.053, 0.500, 0.791) and Br at (0.241, 0.000, 0.346).


[7]
A relaxed AlBr crystal, computed with PBE.

The total energy comes out at -37.20 eV/cell. Its size of the total moment is 0.0 Bohr magnetons per cell.

The structure belongs to space group R-3m (No. 166, hexagonal axes); the cell edges are 3.7217, 3.7217 and 26.3690 Å and the angles 90.00°, 90.00° and 120.00°. Symmetry generates all atoms from Al at (0.0000, 0.0000, 0.1979) and Br at (0.0000, 0.0000, 0.4046).


[8]
A relaxed AlBr5 crystal, computed with PBE.

The total energy comes out at -10.75 eV/cell. Its size of the total moment is 0.8 Bohr magnetons per cell.

The structure belongs to space group P6/mmm (No. 191); the cell edges are 5.5731, 5.5731 and 9.0991 Å and the angles 90.00°, 90.00° and 120.00°. Symmetry generates all atoms from Al at (0.0000, 0.0000, 0.0000), Br at (0.0000, 0.5000, 0.5000) and Br at (0.3333, 0.6667, 0.0000).


Q: size of the total moment of number 5 (AlBr3)?
A: 0.0 Bohr magnetons per cell


What did the second record say?
A relaxed AlBr2 crystal, computed with PBE.

The total energy comes out at -32.00 eV/cell. Its size of the total moment is 0.0 Bohr magnetons per cell.

The structure belongs to space group I4_1/amd (No. 141, origin choice 2); the cell edges are 3.461, 3.461 and 29.915 Å and the angles 90.00°, 90.00° and 90.00°. Symmetry generates all atoms from Al at (0.000, 0.250, 0.375) and Br at (0.000, 0.250, 0.820).